--- one ---
VAgSeO5 | Alexandria | PBE+U | relaxed; mass density = 4.94 g cm⁻³; total magnetic moment = 0.000 μB per atom
1.0
3.600 -4.431 0.000
3.600 4.431 0.000
-3.456 0.000 6.698
V Ag Se O
2 2 2 10
Direct
0.000 0.000 0.000
0.000 0.000 0.500
0.329 0.671 0.750
0.671 0.329 0.250
0.299 0.701 0.250
0.701 0.299 0.750
0.005 0.995 0.250
0.128 0.724 0.469
0.247 0.375 0.126
0.276 0.872 0.031
0.375 0.247 0.626
0.625 0.753 0.374
0.724 0.128 0.969
0.753 0.625 0.874
0.872 0.276 0.531
0.995 0.005 0.750

--- two ---
VAgSeO5 | Alexandria | PBE+U | relaxed; mass density = 4.54 g cm⁻³; total magnetic moment = 0.000 μB per atom
1.0
4.239 0.000 0.000
0.000 20.608 0.000
0.000 0.000 5.316
V Ag Se O
4 4 4 20
Direct
0.031 0.193 0.250
0.031 0.307 0.750
0.969 0.693 0.250
0.969 0.807 0.750
0.125 0.517 0.250
0.125 0.983 0.750
0.875 0.017 0.250
0.875 0.483 0.750
0.318 0.620 0.750
0.318 0.880 0.250
0.682 0.120 0.750
0.682 0.380 0.250
0.053 0.620 0.006
0.053 0.620 0.494
0.053 0.880 0.506
0.053 0.880 0.994
0.059 0.750 0.000
0.059 0.750 0.500
0.388 0.538 0.750
0.388 0.962 0.250
0.416 0.188 0.250
0.416 0.312 0.750
0.584 0.688 0.250
0.584 0.812 0.750
0.612 0.038 0.750
0.612 0.462 0.250
0.941 0.250 0.000
0.941 0.250 0.500
0.947 0.120 0.006
0.947 0.120 0.494
0.947 0.380 0.506
0.947 0.380 0.994

Energies relative to the most stable structure, in eV/atom: one 0.206; two 0.000.